Arrangement a

DFT (GGA-PBE) results for an optimized crystal structure of Sb2TeCI.

```
5
Lattice="5.905 0.000 0.000 0.000 5.905 0.000 0.000 0.000 5.960" Properties=species:S:1:pos:R:3 pbc="T T T"
Sb 0.000 2.953 0.000
Sb 2.953 0.000 0.000
Te 0.000 0.000 0.000
C 2.953 2.953 2.980
I 0.000 0.000 2.980
```

---

Arrangement b

DFT (GGA-PBE) results for an optimized crystal structure of Sb2TeCI.

```
5
Lattice="5.924 0.000 0.000 0.000 5.924 0.000 0.000 0.000 5.742" Properties=species:S:1:pos:R:3 pbc="T T T"
Sb 0.000 2.962 0.000
Sb 2.962 0.000 0.000
Te 0.000 0.000 2.871
C 2.962 2.962 2.871
I 0.000 0.000 0.000
```

---

Quick one: most stable of them? arrangement a

---

Arrangement a

DFT (GGA-PBE) results for an optimized crystal structure of SbWCI2.

```
5
Lattice="5.463 0.000 0.000 0.000 5.463 0.000 0.000 0.000 5.293" Properties=species:S:1:pos:R:3 pbc="T T T"
Sb 0.000 0.000 0.000
W 0.000 0.000 2.647
C 2.732 2.732 0.000
I 0.000 2.732 2.647
I 2.732 0.000 2.647
```

---

Arrangement b

DFT (GGA-PBE) results for an optimized crystal structure of SbWCI2.

```
5
Lattice="4.850 0.000 0.000 0.000 4.850 0.000 0.000 0.000 4.736" Properties=species:S:1:pos:R:3 pbc="T T T"
Sb 0.000 0.000 0.000
W 2.425 2.425 0.000
C 0.000 0.000 2.368
I 0.000 2.425 2.368
I 2.425 0.000 2.368
```

---

Quick one: most stable of them? arrangement b

---

Arrangement a

DFT (GGA-PBE) results for an optimized crystal structure of ZnSbCI2.

```
5
Lattice="5.575 0.000 0.000 0.000 5.575 0.000 0.000 0.000 5.278" Properties=species:S:1:pos:R:3 pbc="T T T"
Zn 0.000 0.000 0.000
Sb 0.000 0.000 2.639
C 2.788 2.788 2.639
I 0.000 2.788 0.000
I 2.788 0.000 0.000
```

---

Arrangement b

DFT (GGA-PBE) results for an optimized crystal structure of ZnSbCI2.

```
5
Lattice="5.236 0.000 0.000 0.000 5.236 0.000 0.000 0.000 4.698" Properties=species:S:1:pos:R:3 pbc="T T T"
Zn 0.000 0.000 0.000
Sb 2.618 2.618 0.000
C 2.618 2.618 2.349
I 0.000 2.618 2.349
I 2.618 0.000 2.349
```

---

Quick one: most stable of them? arrangement b

---

Arrangement a

DFT (GGA-PBE) results for an optimized crystal structure of ZrSb2CI.

```
5
Lattice="4.739 0.000 0.000 0.000 4.739 0.000 0.000 0.000 4.932" Properties=species:S:1:pos:R:3 pbc="T T T"
Zr 0.000 0.000 0.000
Sb 0.000 2.370 2.466
Sb 2.370 0.000 2.466
C 2.370 2.370 2.466
I 2.370 2.370 0.000
```

---

Arrangement b

DFT (GGA-PBE) results for an optimized crystal structure of ZrSb2CI.

```
5
Lattice="5.608 0.000 0.000 0.000 5.608 0.000 0.000 0.000 5.625" Properties=species:S:1:pos:R:3 pbc="T T T"
Zr 0.000 0.000 0.000
Sb 0.000 2.804 0.000
Sb 2.804 0.000 0.000
C 2.804 2.804 2.812
I 0.000 0.000 2.812
```

---

Quick one: most stable of them? arrangement a

---

Arrangement a

DFT (GGA-PBE) results for an optimized crystal structure of ScCI3.

```
5
Lattice="5.063 0.000 0.000 0.000 5.063 0.000 0.000 0.000 5.063" Properties=species:S:1:pos:R:3 pbc="T T T"
Sc 0.000 0.000 0.000
C 2.531 2.531 2.531
I 0.000 2.531 2.531
I 2.531 0.000 2.531
I 2.531 2.531 0.000
```

---

Arrangement b

DFT (GGA-PBE) results for an optimized crystal structure of ScCI3.

```
5
Lattice="5.738 0.000 0.000 0.000 5.738 0.000 0.000 0.000 5.738" Properties=species:S:1:pos:R:3 pbc="T T T"
Sc 0.000 0.000 0.000
C 2.869 2.869 2.869
I 0.000 0.000 2.869
I 0.000 2.869 0.000
I 2.869 0.000 0.000
```

---

Quick one: most stable of them? arrangement b

---

Arrangement a

DFT (GGA-PBE) results for an optimized crystal structure of ScCI2.

```
16
Lattice="7.297 0.000 0.000 0.000 7.297 0.000 0.000 0.000 7.297" Properties=species:S:1:pos:R:3 pbc="T T T"
Sc 0.000 0.000 0.000
Sc 0.000 3.648 3.648
Sc 3.648 0.000 3.648
Sc 3.648 3.648 0.000
C 0.000 0.000 3.648
C 0.000 3.648 0.000
C 3.648 0.000 0.000
C 3.648 3.648 3.648
I 1.824 1.824 1.824
I 1.824 1.824 5.472
I 1.824 5.472 1.824
I 1.824 5.472 5.472
I 5.472 1.824 1.824
I 5.472 1.824 5.472
I 5.472 5.472 1.824
I 5.472 5.472 5.472
```

---

Arrangement b

DFT (GGA-PBE) results for an optimized crystal structure of ScCI2.

```
16
Lattice="5.845 0.000 0.000 0.000 5.845 0.000 0.000 0.000 13.790" Properties=species:S:1:pos:R:3 pbc="T T T"
Sc 0.000 0.000 0.000
Sc 0.000 2.923 3.447
Sc 2.923 0.000 10.342
Sc 2.923 2.923 6.895
C 0.000 0.000 6.895
C 0.000 2.923 10.342
C 2.923 0.000 3.447
C 2.923 2.923 0.000
I 1.168 1.461 8.619
I 1.461 4.091 12.066
I 1.461 4.677 5.171
I 1.754 1.461 1.724
I 4.091 4.384 1.724
I 4.384 1.168 5.171
I 4.384 1.754 12.066
I 4.677 4.384 8.619
```

---

Quick one: most stable of them? arrangement a

---

Arrangement a

DFT (GGA-PBE) results for an optimized crystal structure of ScTeCI2.

```
5
Lattice="4.976 0.000 0.000 0.000 4.976 0.000 0.000 0.000 4.906" Properties=species:S:1:pos:R:3 pbc="T T T"
Sc 0.000 0.000 0.000
Te 2.488 2.488 0.000
C 2.488 2.488 2.453
I 0.000 2.488 2.453
I 2.488 0.000 2.453
```

---

Arrangement b

DFT (GGA-PBE) results for an optimized crystal structure of ScTeCI2.

```
5
Lattice="5.642 0.000 0.000 0.000 5.642 0.000 0.000 0.000 5.755" Properties=species:S:1:pos:R:3 pbc="T T T"
Sc 0.000 0.000 0.000
Te 0.000 0.000 2.877
C 2.821 2.821 2.877
I 0.000 2.821 0.000
I 2.821 0.000 0.000
```

---

Quick one: most stable of them? arrangement a

---

Arrangement a

DFT (GGA-PBE) results for an optimized crystal structure of CSeI2.

```
16
Lattice="7.185 0.000 0.000 0.000 7.185 0.000 0.000 0.000 8.039" Properties=species:S:1:pos:R:3 pbc="T T T"
C 0.000 0.000 0.000
C 0.000 3.593 2.010
C 3.593 0.000 6.029
C 3.593 3.593 4.019
Se 0.000 0.000 4.019
Se 0.000 3.593 6.029
Se 3.593 0.000 2.010
Se 3.593 3.593 0.000
I 1.285 5.389 1.005
I 1.796 1.285 7.034
I 1.796 2.308 3.015
I 2.308 5.389 5.024
I 4.878 1.796 5.024
I 5.389 4.878 3.015
I 5.389 5.900 7.034
I 5.900 1.796 1.005
```

---

Arrangement b

DFT (GGA-PBE) results for an optimized crystal structure of CSeI2.

```
16
Lattice="7.173 0.000 0.000 0.000 7.173 0.000 0.000 0.000 7.173" Properties=species:S:1:pos:R:3 pbc="T T T"
C 0.000 0.000 0.000
C 0.000 3.587 3.587
C 3.587 0.000 3.587
C 3.587 3.587 0.000
Se 0.000 0.000 3.587
Se 0.000 3.587 0.000
Se 3.587 0.000 0.000
Se 3.587 3.587 3.587
I 1.793 1.793 1.793
I 1.793 1.793 5.380
I 1.793 5.380 1.793
I 1.793 5.380 5.380
I 5.380 1.793 1.793
I 5.380 1.793 5.380
I 5.380 5.380 1.793
I 5.380 5.380 5.380
```

---

Quick one: most stable of them? arrangement a

---

Arrangement a

DFT (GGA-PBE) results for an optimized crystal structure of C2SeI.

```
16
Lattice="6.210 0.000 0.000 0.000 6.210 0.000 0.000 0.000 6.210" Properties=species:S:1:pos:R:3 pbc="T T T"
C 1.553 1.553 1.553
C 1.553 1.553 4.658
C 1.553 4.658 1.553
C 1.553 4.658 4.658
C 4.658 1.553 1.553
C 4.658 1.553 4.658
C 4.658 4.658 1.553
C 4.658 4.658 4.658
Se 0.000 0.000 0.000
Se 0.000 3.105 3.105
Se 3.105 0.000 3.105
Se 3.105 3.105 0.000
I 0.000 0.000 3.105
I 0.000 3.105 0.000
I 3.105 0.000 0.000
I 3.105 3.105 3.105
```

---

Arrangement b

DFT (GGA-PBE) results for an optimized crystal structure of C2SeI.

```
16
Lattice="5.957 0.000 0.000 0.000 5.957 0.000 0.000 0.000 7.985" Properties=species:S:1:pos:R:3 pbc="T T T"
C 1.159 1.489 0.998
C 1.489 4.137 2.995
C 1.489 4.798 6.987
C 1.819 1.489 4.991
C 4.137 4.468 4.991
C 4.468 1.159 6.987
C 4.468 1.819 2.995
C 4.798 4.468 0.998
Se 0.000 0.000 0.000
Se 0.000 2.978 1.996
Se 2.978 0.000 5.989
Se 2.978 2.978 3.993
I 0.000 0.000 3.993
I 0.000 2.978 5.989
I 2.978 0.000 1.996
I 2.978 2.978 0.000
```

---

Quick one: most stable of them? arrangement b

---

Arrangement a

DFT (GGA-PBE) results for an optimized crystal structure of CSe3I.

```
5
Lattice="5.434 0.000 0.000 0.000 5.434 0.000 0.000 0.000 5.434" Properties=species:S:1:pos:R:3 pbc="T T T"
C 0.000 0.000 0.000
Se 0.000 2.717 2.717
Se 2.717 0.000 2.717
Se 2.717 2.717 0.000
I 2.717 2.717 2.717
```

---

Arrangement b

DFT (GGA-PBE) results for an optimized crystal structure of CSe3I.

```
5
Lattice="4.599 0.000 0.000 0.000 4.599 0.000 0.000 0.000 4.599" Properties=species:S:1:pos:R:3 pbc="T T T"
C 0.000 0.000 0.000
Se 0.000 0.000 2.299
Se 0.000 2.299 0.000
Se 2.299 0.000 0.000
I 2.299 2.299 2.299
```

---

Quick one: most stable of them? arrangement b

---

Arrangement a

DFT (GGA-PBE) results for an optimized crystal structure of Te2CSeI.

```
5
Lattice="5.580 0.000 0.000 0.000 5.580 0.000 0.000 0.000 5.525" Properties=species:S:1:pos:R:3 pbc="T T T"
Te 0.000 2.790 0.000
Te 2.790 0.000 0.000
C 0.000 0.000 2.763
Se 2.790 2.790 0.000
I 2.790 2.790 2.763
```

---

Arrangement b

DFT (GGA-PBE) results for an optimized crystal structure of Te2CSeI.

```
5
Lattice="4.861 0.000 0.000 0.000 4.861 0.000 0.000 0.000 4.957" Properties=species:S:1:pos:R:3 pbc="T T T"
Te 0.000 2.431 0.000
Te 2.431 0.000 0.000
C 0.000 0.000 0.000
Se 2.431 2.431 2.479
I 0.000 0.000 2.479
```

---

Quick one: most stable of them? arrangement b

---

Arrangement a

DFT (GGA-PBE) results for an optimized crystal structure of TeCSeI2.

```
5
Lattice="5.045 0.000 0.000 0.000 5.045 0.000 0.000 0.000 4.829" Properties=species:S:1:pos:R:3 pbc="T T T"
Te 0.000 0.000 0.000
C 0.000 0.000 2.414
Se 2.523 2.523 0.000
I 0.000 2.523 2.414
I 2.523 0.000 2.414
```

---

Arrangement b

DFT (GGA-PBE) results for an optimized crystal structure of TeCSeI2.

```
5
Lattice="5.620 0.000 0.000 0.000 5.620 0.000 0.000 0.000 5.722" Properties=species:S:1:pos:R:3 pbc="T T T"
Te 0.000 0.000 0.000
C 2.810 2.810 0.000
Se 0.000 0.000 2.861
I 0.000 2.810 2.861
I 2.810 0.000 2.861
```

---

Quick one: most stable of them? arrangement a

---

Arrangement a

DFT (GGA-PBE) results for an optimized crystal structure of Si3CI.

```
5
Lattice="5.345 0.000 0.000 0.000 5.345 0.000 0.000 0.000 5.345" Properties=species:S:1:pos:R:3 pbc="T T T"
Si 0.000 0.000 2.672
Si 0.000 2.672 0.000
Si 2.672 0.000 0.000
C 2.672 2.672 2.672
I 0.000 0.000 0.000
```

---

Arrangement b

DFT (GGA-PBE) results for an optimized crystal structure of Si3CI.

```
5
Lattice="4.347 0.000 0.000 0.000 4.347 0.000 0.000 0.000 4.347" Properties=species:S:1:pos:R:3 pbc="T T T"
Si 0.000 0.000 2.174
Si 0.000 2.174 0.000
Si 2.174 0.000 0.000
C 0.000 0.000 0.000
I 2.174 2.174 2.174
```

---

Quick one: most stable of them? arrangement b

---

Arrangement a

DFT (GGA-PBE) results for an optimized crystal structure of SiC2I.

```
16
Lattice="5.280 0.000 0.000 0.000 5.280 0.000 0.000 0.000 8.765" Properties=species:S:1:pos:R:3 pbc="T T T"
Si 0.000 0.000 0.000
Si 0.000 2.640 2.191
Si 2.640 0.000 6.574
Si 2.640 2.640 4.383
C 0.733 1.320 1.096
C 1.320 3.373 3.287
C 1.320 4.548 7.670
C 1.908 1.320 5.478
C 3.373 3.960 5.478
C 3.960 0.733 7.670
C 3.960 1.908 3.287
C 4.548 3.960 1.096
I 0.000 0.000 4.383
I 0.000 2.640 6.574
I 2.640 0.000 2.191
I 2.640 2.640 0.000
```

---

Arrangement b

DFT (GGA-PBE) results for an optimized crystal structure of SiC2I.

```
16
Lattice="5.922 0.000 0.000 0.000 5.922 0.000 0.000 0.000 5.922" Properties=species:S:1:pos:R:3 pbc="T T T"
Si 0.000 0.000 0.000
Si 0.000 2.961 2.961
Si 2.961 0.000 2.961
Si 2.961 2.961 0.000
C 1.481 1.481 1.481
C 1.481 1.481 4.442
C 1.481 4.442 1.481
C 1.481 4.442 4.442
C 4.442 1.481 1.481
C 4.442 1.481 4.442
C 4.442 4.442 1.481
C 4.442 4.442 4.442
I 0.000 0.000 2.961
I 0.000 2.961 0.000
I 2.961 0.000 0.000
I 2.961 2.961 2.961
```

---

Quick one: most stable of them? arrangement a